Record 1
PrMgZn2Ni2: relaxed, PBE-GGA.

It has space group P-3m1 (No. 164), with a = 4.2750 Å, b = 4.2750 Å, c = 6.7124 Å, α = 90.00°, β = 90.00° and γ = 120.00°. The inequivalent atoms are Pr at (0.0000, 0.0000, 0.0000), Mg at (0.0000, 0.0000, 0.5000), Zn at (0.3333, 0.6667, 0.3060) and Ni at (0.3333, 0.6667, 0.6964).

The total energy comes out at -3.709 eV per atom. Its energy relative to the elements is -0.295 eV per atom. Its volume is 17.706 Å³/atom. The size of the total moment comes out at 0.000 μB per cell.

---

Record 2
LiPuGaO4: relaxed, PBE-GGA.

It has space group Imma (No. 74), with a = 5.9977 Å, b = 6.9508 Å, c = 8.8955 Å, α = 90.00°, β = 90.00° and γ = 90.00°. The inequivalent atoms are Li at (0.0000, 0.2500, 0.1122), Pu at (0.0000, 0.0000, 0.5000), Ga at (0.2500, 0.2500, 0.7500), O at (0.0000, 0.0542, 0.7484) and O at (0.2317, 0.2500, 0.5095).

The total energy comes out at -7.864 eV per atom. Its volume is 13.244 Å³/atom. The value obtained for the energy relative to the elements, uncorrected is -2277 meV per atom. The size of the total moment comes out at 16.000 μB per cell.